VASP calculation (PBE) on a relaxed Nd2InCu4Ge3 crystal.

Structure (CIF):
```
data_Nd2InCu4Ge3
_space_group_name_H-M_alt 'P -4 m 2'
_space_group_IT_number 115
_cell_length_a 4.2144
_cell_length_b 4.2144
_cell_length_c 10.4864
_cell_angle_alpha 90.00
_cell_angle_beta 90.00
_cell_angle_gamma 90.00
loop_
_space_group_symop_operation_xyz
'x,y,z'
'y,-x,-z'
'-x,-y,z'
'-y,x,-z'
'-x,y,z'
'-y,-x,-z'
'x,-y,z'
'y,x,-z'
loop_
_atom_site_label
_atom_site_type_symbol
_atom_site_fract_x
_atom_site_fract_y
_atom_site_fract_z
Nd1 Nd 0.0000 0.5000 0.2330
In1 In 0.0000 0.0000 0.5000
Cu1 Cu 0.0000 0.0000 0.0000
Cu2 Cu 0.0000 0.5000 0.6468
Cu3 Cu 0.5000 0.5000 0.0000
Ge1 Ge 0.0000 0.5000 0.8747
Ge2 Ge 0.5000 0.5000 0.5000
```

* formation enthalpy at 0 K: -4.7 eV/f.u.



VASP calculation (PBE) on a relaxed TeRhBr2 crystal.

Structure (CIF):
```
data_TeRhBr2
_space_group_name_H-M_alt 'P 4/m m m'
_space_group_IT_number 123
_space_group_name_Hall '-P 4 2'
_cell_length_a 3.1917
_cell_length_b 3.1917
_cell_length_c 11.0606
_cell_angle_alpha 90.00
_cell_angle_beta 90.00
_cell_angle_gamma 90.00
loop_
_atom_site_label
_atom_site_type_symbol
_atom_site_fract_x
_atom_site_fract_y
_atom_site_fract_z
Te1 Te 0.0000 0.0000 0.0000
Rh1 Rh 0.0000 0.0000 0.5000
Br1 Br 0.5000 0.5000 0.3552
```

* uncorrected formation energy: 34 kJ/mol of atoms



VASP calculation (PBE) on a relaxed NdErSnTe crystal.

Structure (CIF):
```
data_NdErSnTe
_space_group_name_H-M_alt 'R 3 m'
_space_group_IT_number 160
_space_group_name_Hall 'R 3 -2"'
_cell_length_a 4.4411
_cell_length_b 4.4411
_cell_length_c 21.8718
_cell_angle_alpha 90.00
_cell_angle_beta 90.00
_cell_angle_gamma 120.00
loop_
_atom_site_label
_atom_site_type_symbol
_atom_site_fract_x
_atom_site_fract_y
_atom_site_fract_z
Nd1 Nd 0.0000 0.0000 0.0000
Er1 Er 0.0000 0.0000 0.4921
Sn1 Sn 0.0000 0.0000 0.7495
Te1 Te 0.0000 0.0000 0.2419
```

* uncorrected formation energy: -102 kJ/mol of atoms



VASP calculation (PBE) on a relaxed TiZn3Pb crystal.

Structure (CIF):
```
data_TiZn3Pb
_space_group_name_H-M_alt 'P m -3 m'
_space_group_IT_number 221
_space_group_name_Hall '-P 4 2 3'
_cell_length_a 5.0101
_cell_length_b 5.0101
_cell_length_c 5.0101
_cell_angle_alpha 90.00
_cell_angle_beta 90.00
_cell_angle_gamma 90.00
loop_
_atom_site_label
_atom_site_type_symbol
_atom_site_fract_x
_atom_site_fract_y
_atom_site_fract_z
Ti1 Ti 0.0000 0.0000 0.0000
Zn1 Zn 0.0000 0.0000 0.5000
Pb1 Pb 0.5000 0.5000 0.5000
```

* offset from the most stable computed form: 0 meV/atom
* formation enthalpy at 0 K: 3.3 eV/f.u.



VASP calculation (PBE) on a relaxed AlTe6Pb4 crystal.

Structure (CIF):
```
data_AlTe6Pb4
_space_group_name_H-M_alt 'C 1 c 1'
_space_group_IT_number 9
_cell_length_a 16.3354
_cell_length_b 8.3028
_cell_length_c 14.5362
_cell_angle_alpha 90.00
_cell_angle_beta 117.55
_cell_angle_gamma 90.00
loop_
_space_group_symop_operation_xyz
'x,y,z'
'x,-y,z+1/2'
'x+1/2,y+1/2,z'
'x+1/2,-y+1/2,z+1/2'
loop_
_atom_site_label
_atom_site_type_symbol
_atom_site_fract_x
_atom_site_fract_y
_atom_site_fract_z
Al1 Al 0.0000 0.2241 0.0000
Te1 Te 0.1243 0.1870 0.3667
Te2 Te 0.1703 0.2862 0.0317
Te3 Te 0.2571 0.2308 0.7401
Te4 Te 0.4042 0.2186 0.3005
Te5 Te 0.4368 0.4594 0.0408
Te6 Te 0.4835 0.0351 0.6108
Pb1 Pb 0.0724 0.1476 0.7631
Pb2 Pb 0.2223 0.3984 0.2539
Pb3 Pb 0.2716 0.0418 0.5691
Pb4 Pb 0.4600 0.1704 0.9131
```

* uncorrected formation energy: -29 kJ/mol of atoms



VASP calculation (PBE) on a relaxed AcCu2SbS4 crystal.

Structure (CIF):
```
data_AcCu2SbS4
_space_group_name_H-M_alt 'I 2 2 2'
_space_group_IT_number 23
_cell_length_a 6.6585
_cell_length_b 7.1047
_cell_length_c 7.7115
_cell_angle_alpha 90.00
_cell_angle_beta 90.00
_cell_angle_gamma 90.00
loop_
_space_group_symop_operation_xyz
'x,y,z'
'-x,-y,z'
'x,-y,-z'
'-x,y,-z'
'x+1/2,y+1/2,z+1/2'
'-x+1/2,-y+1/2,z+1/2'
'x+1/2,-y+1/2,-z+1/2'
'-x+1/2,y+1/2,-z+1/2'
loop_
_atom_site_label
_atom_site_type_symbol
_atom_site_fract_x
_atom_site_fract_y
_atom_site_fract_z
Ac1 Ac 0.0000 0.0000 0.0000
Cu1 Cu 0.0000 0.5000 0.1742
Sb1 Sb 0.0000 0.0000 0.5000
S1 S 0.2501 0.1983 0.2971
```

* uncorrected formation energy: -69 kJ/mol of atoms



VASP calculation (PBE) on a relaxed CsH2PdCl8 crystal.

Structure (CIF):
```
data_CsH2PdCl8
_space_group_name_H-M_alt 'P -1'
_space_group_IT_number 2
_cell_length_a 6.6604
_cell_length_b 7.4328
_cell_length_c 8.9804
_cell_angle_alpha 76.04
_cell_angle_beta 70.78
_cell_angle_gamma 67.81
loop_
_space_group_symop_operation_xyz
'x,y,z'
'-x,-y,-z'
loop_
_atom_site_label
_atom_site_type_symbol
_atom_site_fract_x
_atom_site_fract_y
_atom_site_fract_z
Cs1 Cs 0.0000 0.0000 0.0000
H1 H 0.3802 0.4065 0.2462
Pd1 Pd 0.5000 0.0000 0.5000
Cl1 Cl 0.1631 0.4729 0.9311
Cl2 Cl 0.2026 0.8915 0.5840
Cl3 Cl 0.3580 0.5902 0.2542
Cl4 Cl 0.4322 0.1133 0.2480
```

* total energy: -2.906 eV per atom



VASP calculation (PBE) on a relaxed Pu3TiAg3Se8 crystal.

Structure (CIF):
```
data_Pu3TiAg3Se8
_space_group_name_H-M_alt 'R -3 m'
_space_group_IT_number 166
_space_group_name_Hall '-R 3 2"'
_cell_length_a 8.2289
_cell_length_b 8.2289
_cell_length_c 19.3742
_cell_angle_alpha 90.00
_cell_angle_beta 90.00
_cell_angle_gamma 120.00
loop_
_atom_site_label
_atom_site_type_symbol
_atom_site_fract_x
_atom_site_fract_y
_atom_site_fract_z
Pu1 Pu 0.0000 0.5000 0.0000
Ti1 Ti 0.0000 0.0000 0.0000
Ag1 Ag 0.0000 0.5000 0.5000
Se1 Se 0.0000 0.0000 0.2500
Se2 Se 0.0265 0.5132 0.7435
```

* uncorrected formation energy: -89 kJ/mol of atoms



VASP calculation (PBE) on a relaxed Re2HgOs crystal.

Structure (CIF):
```
data_Re2HgOs
_space_group_name_H-M_alt 'R -3 m'
_space_group_IT_number 166
_space_group_name_Hall '-R 3 2"'
_cell_length_a 2.8193
_cell_length_b 2.8193
_cell_length_c 28.1068
_cell_angle_alpha 90.00
_cell_angle_beta 90.00
_cell_angle_gamma 120.00
loop_
_atom_site_label
_atom_site_type_symbol
_atom_site_fract_x
_atom_site_fract_y
_atom_site_fract_z
Re1 Re 0.0000 0.0000 0.2424
Hg1 Hg 0.0000 0.0000 0.0000
Os1 Os 0.0000 0.0000 0.5000
```

* formation enthalpy at 0 K: 1.7 eV/f.u.



VASP calculation (PBE) on a relaxed Cd2PbW crystal.

Structure (CIF):
```
data_Cd2PbW
_space_group_name_H-M_alt 'P 4/m m m'
_space_group_IT_number 123
_space_group_name_Hall '-P 4 2'
_cell_length_a 2.9862
_cell_length_b 2.9862
_cell_length_c 9.9349
_cell_angle_alpha 90.00
_cell_angle_beta 90.00
_cell_angle_gamma 90.00
loop_
_atom_site_label
_atom_site_type_symbol
_atom_site_fract_x
_atom_site_fract_y
_atom_site_fract_z
Cd1 Cd 0.0000 0.0000 0.2128
Pb1 Pb 0.5000 0.5000 0.5000
W1 W 0.5000 0.5000 0.0000
```

* formation enthalpy at 0 K: 2.2 eV/f.u.



VASP calculation (PBE) on a relaxed Ni2RuSe crystal.

Structure (CIF):
```
data_Ni2RuSe
_space_group_name_H-M_alt 'I m m 2'
_space_group_IT_number 44
_cell_length_a 3.0812
_cell_length_b 4.0477
_cell_length_c 8.4686
_cell_angle_alpha 90.00
_cell_angle_beta 90.00
_cell_angle_gamma 90.00
loop_
_space_group_symop_operation_xyz
'x,y,z'
'-x,-y,z'
'-x,y,z'
'x,-y,z'
'x+1/2,y+1/2,z+1/2'
'-x+1/2,-y+1/2,z+1/2'
'-x+1/2,y+1/2,z+1/2'
'x+1/2,-y+1/2,z+1/2'
loop_
_atom_site_label
_atom_site_type_symbol
_atom_site_fract_x
_atom_site_fract_y
_atom_site_fract_z
Ni1 Ni 0.0000 0.0000 0.0000
Ni2 Ni 0.0000 0.5000 0.2239
Ru1 Ru 0.0000 0.5000 0.7775
Se1 Se 0.0000 0.0000 0.5056
```

* uncorrected formation energy: 23 kJ/mol of atoms



VASP calculation (PBE) on a relaxed PmSm5TmSc2 crystal.

Structure (CIF):
```
data_PmSm5TmSc2
_space_group_name_H-M_alt 'C m c 21'
_space_group_IT_number 36
_cell_length_a 5.6605
_cell_length_b 21.7619
_cell_length_c 9.4414
_cell_angle_alpha 90.00
_cell_angle_beta 90.00
_cell_angle_gamma 90.00
loop_
_space_group_symop_operation_xyz
'x,y,z'
'-x,-y,z+1/2'
'-x,y,z'
'x,-y,z+1/2'
'x+1/2,y+1/2,z'
'-x+1/2,-y+1/2,z+1/2'
'-x+1/2,y+1/2,z'
'x+1/2,-y+1/2,z+1/2'
loop_
_atom_site_label
_atom_site_type_symbol
_atom_site_fract_x
_atom_site_fract_y
_atom_site_fract_z
Pm1 Pm 0.0000 0.1825 0.0000
Sm1 Sm 0.0000 0.0110 0.0095
Sm2 Sm 0.0000 0.2671 0.6912
Sm3 Sm 0.0000 0.3046 0.3031
Sm4 Sm 0.0000 0.3926 0.9711
Sm5 Sm 0.0000 0.4672 0.2712
Tm1 Tm 0.0000 0.4023 0.5988
Sc1 Sc 0.0000 0.1146 0.6891
Sc2 Sc 0.0000 0.1319 0.3127
```

* formation enthalpy at 0 K: 1.5 eV/f.u.